## Sb2Te2Au (SCAN)

Data for a PBEsol-optimized structure of Sb2Te2Au.

POSCAR file:
```
Sb2Te2Au
1.0
4.2689 0.0000 0.0000
0.0000 7.9796 0.0000
0.0000 0.0000 7.9796
Sb Te Au
4 4 2
direct
0.0000 0.3216 0.8216 Sb
0.0000 0.8216 0.6784 Sb
0.0000 0.6784 0.1784 Sb
0.0000 0.1784 0.3216 Sb
0.5000 0.1477 0.6477 Te
0.5000 0.6477 0.8523 Te
0.5000 0.8523 0.3523 Te
0.5000 0.3523 0.1477 Te
0.0000 0.0000 0.0000 Au
0.0000 0.5000 0.5000 Au
```

Calculated values
Theoretical density, g/cm³: 8.500
Calculated total energy, eV per cell: -434.78
Space-group type: P4/mbm, No. 127

=====

## TiSb2TeAu (SCAN)

Data for a PBEsol-optimized structure of TiSb2TeAu.

POSCAR file:
```
TiSb2TeAu
1.0
5.2293 0.0000 0.0000
0.0000 5.2293 0.0000
0.0000 0.0000 5.3799
Sb Te Au Ti
2 1 1 1
direct
0.0000 0.5000 0.0000 Sb
0.5000 0.0000 0.0000 Sb
0.0000 0.0000 0.5000 Te
0.0000 0.0000 0.0000 Au
0.5000 0.5000 0.5000 Ti
```

Calculated values
Theoretical density, g/cm³: 6.952
Calculated total energy, eV per cell: -193.65
Space-group type: P4/mmm, No. 123

=====

> Among the records above, which one has the lowest theoretical density?

TiSb2TeAu

=====

> The lowest theoretical density belongs to which entry?

TiSb2TeAu